First-principles (PBE-GGA) data for an optimized crystal structure of Dy6SiS5, as listed in the Alexandria database.

Computed properties:
As for the total energy: -6.301 eV per atom.

Lattice parameters (Å, degrees): 6.838 6.838 6.851 99.57 99.57 120.01
Positions (direct):
Dy 0.083 0.413 0.748
Dy 0.248 0.248 0.253
Dy 0.413 0.083 0.748
Dy 0.587 0.917 0.252
Dy 0.752 0.752 0.747
Dy 0.917 0.587 0.252
Si 0.000 0.000 0.500
S 0.167 0.833 0.000
S 0.333 0.667 0.500
S 0.500 0.500 0.000
S 0.667 0.333 0.500
S 0.833 0.167 0.000

First-principles (PBE-GGA) data for an optimized crystal structure of HgP2ClF, as listed in the Alexandria database.

Computed properties:
The energy above the most stable polymorph in this dataset is 0 meV/atom.

Lattice parameters (Å, degrees): 4.168 4.168 5.998 90.00 90.00 90.00
Positions (direct):
Hg 0.000 0.000 0.000
P 0.000 0.500 0.500
P 0.500 0.000 0.500
Cl 0.500 0.500 0.000
F 0.500 0.500 0.500

First-principles (PBE-GGA) data for an optimized crystal structure of Co3BiTe, as listed in the Alexandria database.

Computed properties:
The energy above the most stable polymorph in this dataset is 0 meV/atom.

Lattice parameters (Å, degrees): 4.668 4.668 4.668 90.00 90.00 90.00
Positions (direct):
Co 0.000 0.000 0.500
Co 0.000 0.500 0.000
Co 0.500 0.000 0.000
Bi 0.500 0.500 0.500
Te 0.000 0.000 0.000

First-principles (PBE-GGA) data for an optimized crystal structure of YInI2, as listed in the Alexandria database.

Computed properties:
The energy above the most stable polymorph in this dataset is 140 meV/atom.

Lattice parameters (Å, degrees): 5.609 5.609 5.609 60.00 60.00 60.00
Positions (direct):
Y 0.000 0.000 0.000
In 0.500 0.500 0.500
I 0.250 0.250 0.250
I 0.750 0.750 0.750

First-principles (PBE-GGA) data for an optimized crystal structure of CeLuHgOs, as listed in the Alexandria database.

Computed properties:
As for the formation enthalpy at 0 K: -0.21 eV per atom.

Lattice parameters (Å, degrees): 5.027 5.027 5.027 60.00 60.00 60.00
Positions (direct):
Ce 0.000 0.000 0.000
Lu 0.500 0.500 0.500
Hg 0.250 0.250 0.250
Os 0.750 0.750 0.750

First-principles (PBE-GGA) data for an optimized crystal structure of FeNi2, as listed in the Alexandria database.

Computed properties:
As for the formation enthalpy at 0 K: 0.38 eV per atom.

Lattice parameters (Å, degrees): 3.827 3.827 3.827 60.00 60.00 60.00
Positions (direct):
Fe 0.000 0.000 0.000
Ni 0.250 0.250 0.250
Ni 0.750 0.750 0.750

The records above yield volume values of 21.80; 20.84; 20.35; 31.19; 22.46; 13.22 Å³ per atom, respectively.